Entry 1:
## Nd3DySn3 (GGA-PBE)

Data for a relaxed Nd3DySn3 crystal.

It has space group P6_3/m (No. 176), with a = 9.6084 Å, b = 9.6084 Å, c = 6.2981 Å, α = 90.00°, β = 90.00° and γ = 120.00°. The distinct sites, in fractional coordinates, are Nd at (0.0265, 0.3329, 0.2500), Dy at (0.3333, 0.6667, 0.7500) and Sn at (0.0106, 0.3493, 0.7500).

The energy relative to the elements comes out at -0.4402 eV/atom.



Entry 2:
## NaHgPd2F6 (GGA-PBE)

Data for a relaxed NaHgPd2F6 crystal.

It has space group P1 (No. 1), with a = 5.959 Å, b = 5.961 Å, c = 5.978 Å, α = 60.11°, β = 60.16° and γ = 60.02°. The distinct sites, in fractional coordinates, are Na at (0.000, 0.000, 0.000), Hg at (0.474, 0.474, 0.578), Pd at (0.220, 0.220, 0.339), Pd at (0.714, 0.714, 0.856), F at (0.046, 0.450, 0.615), F at (0.359, 0.971, 0.095), F at (0.449, 0.888, 0.616), F at (0.575, 0.359, 0.096), F at (0.888, 0.046, 0.614) and F at (0.971, 0.575, 0.095).

The energy relative to the elements, uncorrected comes out at -1.387 eV per atom.



Entry 3:
## HoHgAu (GGA-PBE)

Data for a relaxed HoHgAu crystal.

It has space group C2/m (No. 12), with a = 5.440 Å, b = 5.406 Å, c = 9.634 Å, α = 90.00°, β = 92.24° and γ = 90.00°. The distinct sites, in fractional coordinates, are Ho at (0.242, 0.000, 0.388), Hg at (0.232, 0.500, 0.227) and Au at (0.238, 0.000, 0.077).

The energy relative to the elements comes out at -0.2435 eV/atom.



Entry 4:
## KRbO (GGA-PBE)

Data for a relaxed KRbO crystal.

It has space group I4/mmm (No. 139), with a = 12.033 Å, b = 12.033 Å, c = 5.684 Å, α = 90.00°, β = 90.00° and γ = 90.00°. The distinct sites, in fractional coordinates, are K at (0.164, 0.164, 0.000), Rb at (0.000, 0.355, 0.500) and O at (0.000, 0.298, 0.000).

The energy relative to the elements, uncorrected comes out at -0.875 eV per atom.